First-principles (PBE-GGA) data for a relaxed Tc2AgPd crystal, as listed in the Open Quantum Materials Database.

Lattice parameters (Å, degrees): 4.4393 4.4393 4.4393 60.00 60.00 60.00
Fractional positions:
Tc (0.0000, 0.0000, 0.0000)
Tc (0.2500, 0.2500, 0.2500)
Ag (0.5000, 0.5000, 0.5000)
Pd (0.7500, 0.7500, 0.7500)

- Symmetry: F-43m
- Formation energy from the elements: 1.942 eV per formula unit
- Theoretical density: 11.01 g/cm3

First-principles (PBE-GGA) data for a relaxed InAgSeO crystal, as listed in the Open Quantum Materials Database.

Lattice parameters (Å, degrees): 3.9406 3.9406 9.2691 90.00 90.00 90.00
Fractional positions:
In (0.2500, 0.2500, 0.1098)
In (0.7500, 0.7500, 0.8902)
Ag (0.2500, 0.7500, 0.5000)
Ag (0.7500, 0.2500, 0.5000)
Se (0.2500, 0.2500, 0.7109)
Se (0.7500, 0.7500, 0.2891)
O (0.2500, 0.7500, 0.0000)
O (0.7500, 0.2500, 0.0000)

- Symmetry: P4/nmm
- Theoretical density: 7.33 g/cm3
- Distance to the lowest polymorph of the same formula: 85 meV per atom